(1)
The following is a DFT calculation (PBE-GGA) of a geometry-optimized Tb7NdHo12 structure.

```
Tb7NdHo12
1.0
6.397 3.693 4.531
-6.397 3.693 4.531
0.000 -7.386 4.531
Tb Nd Ho
7 1 12
direct
0.000 0.000 0.000
0.148 0.418 0.484
0.418 0.484 0.148
0.484 0.148 0.418
0.516 0.852 0.582
0.582 0.516 0.852
0.852 0.582 0.516
0.500 0.500 0.500
0.023 0.086 0.354
0.086 0.354 0.023
0.180 0.751 0.311
0.249 0.689 0.820
0.311 0.180 0.751
0.354 0.023 0.086
0.646 0.977 0.914
0.689 0.820 0.249
0.751 0.311 0.180
0.820 0.249 0.689
0.914 0.646 0.977
0.977 0.914 0.646
```

Results
The value obtained for the electronic total energy is -4.3063 eV/atom.

=====

(2)
The following is a DFT calculation (PBE-GGA) of a geometry-optimized Tb7Nd2Ho2 structure.

```
Tb7Nd2Ho2
1.0
5.669 -5.740 0.000
5.669 5.740 0.000
-2.392 0.000 5.571
Tb Nd Ho
7 2 2
direct
0.000 0.000 0.000
0.060 0.590 0.825
0.410 0.940 0.175
0.414 0.414 0.198
0.586 0.586 0.802
0.590 0.060 0.825
0.940 0.410 0.175
0.231 0.231 0.592
0.769 0.769 0.408
0.219 0.781 0.500
0.781 0.219 0.500
```

Results
The value obtained for the electronic total energy is -4.4939 eV/atom.

=====

(3)
The following is a DFT calculation (PBE-GGA) of a geometry-optimized TbNd4Ho4 structure.

```
TbNd4Ho4
1.0
-5.401 5.401 2.538
5.401 -5.401 2.538
5.401 5.401 -2.538
Tb Nd Ho
1 4 4
direct
0.000 0.000 0.000
0.333 0.333 0.666
0.333 0.667 0.000
0.667 0.333 0.000
0.667 0.667 0.334
0.000 0.335 0.335
0.000 0.665 0.665
0.335 0.000 0.335
0.665 0.000 0.665
```

Results
The value obtained for the electronic total energy is -4.6494 eV/atom.

=====

(4)
The following is a DFT calculation (PBE-GGA) of a geometry-optimized Tb2NdHo8 structure.

```
Tb2NdHo8
1.0
-2.740 4.044 7.972
2.740 -4.044 7.972
2.740 4.044 -7.972
Tb Nd Ho
2 1 8
direct
0.200 0.200 0.000
0.800 0.800 0.000
0.500 0.500 0.000
0.067 0.360 0.707
0.205 0.000 0.205
0.337 0.837 0.500
0.347 0.640 0.707
0.653 0.360 0.293
0.663 0.163 0.500
0.795 0.000 0.795
0.933 0.640 0.293
```

Results
The value obtained for the electronic total energy is -4.4905 eV/atom.

=====

| no. | ΔH_f (0 K) (meV/atom) | offset from the most stable computed form (meV per atom) |
| --- | --- | --- |
| 1 | 299 | 0 |
| 2 | 152 | 3 |
| 3 | 19 | 0 |
| 4 | 114 | 94 |